NdEuZnAu | PBE | relaxed

Summary:
Space group ... No. 216
N(E_F) ... 1.67 states/eV/atom
Energy of formation ... -514 meV per atom
DFT total energy ... -0.398 Ry/atom

Cell lengths 5.2629, 5.2629, 5.2629 Å; angles 60.00, 60.00, 60.00 degrees
Closest atoms and distances in Å follow each position.
Sites, in units of the cell vectors:
Eu 0.2500 0.2500 0.2500  4 Zn 3.22, 4 Au 3.22
Nd 0.7500 0.7500 0.7500  4 Zn 3.22, 4 Au 3.22
Zn 0.5000 0.5000 0.5000  4 Nd 3.22, 4 Eu 3.22
Au 0.0000 0.0000 0.0000  4 Eu 3.22, 4 Nd 3.22

---

Pr4NdY2Ho2 | PBE | relaxed

Summary:
Space group ... No. 12
N(E_F) ... 1.48 states/eV/atom
Energy of formation ... 17 meV per atom
DFT total energy ... -0.374 Ry/atom

Cell lengths 5.1389, 8.1386, 8.1227 Å; angles 107.25, 90.00, 108.40 degrees
Closest atoms and distances in Å follow each position.
Sites, in units of the cell vectors:
Pr 0.7772 0.5545 0.6693  3 Ho 3.58-3.62, 3 Y 3.62-3.67, 1 Nd 3.64, 5 Pr 3.66-3.67
Pr 0.2228 0.4455 0.3307  3 Ho 3.58-3.62, 3 Y 3.62-3.67, 1 Nd 3.64, 5 Pr 3.66-3.67
Pr 0.5544 0.1087 0.3307  2 Nd 3.62, 4 Y 3.63-3.66, 2 Ho 3.64-3.65, 4 Pr 3.64-3.67
Pr 0.4456 0.8913 0.6693  2 Nd 3.62, 4 Y 3.63-3.66, 2 Ho 3.64-3.65, 4 Pr 3.64-3.67
Nd 0.0000 0.0000 0.0000  2 Y 3.62, 6 Pr 3.62-3.64, 4 Ho 3.66
Y 0.8883 0.7765 0.3310  3 Ho 3.62, 1 Nd 3.62, 7 Pr 3.62-3.67, 1 Y 3.68
Y 0.1117 0.2235 0.6690  3 Ho 3.62, 1 Nd 3.62, 7 Pr 3.62-3.67, 1 Y 3.68
Ho 0.3316 0.6633 0.0006  5 Pr 3.58-3.65, 2 Ho 3.60, 3 Y 3.62, 2 Nd 3.66
Ho 0.6684 0.3367 0.9994  5 Pr 3.58-3.65, 2 Ho 3.60, 3 Y 3.62, 2 Nd 3.66

---

Sc3GaRu2 | PBE | relaxed

Summary:
Space group ... No. 123
N(E_F) ... 0.44 states/eV/atom
Energy of formation ... -647 meV per atom
DFT total energy ... -0.545 Ry/atom

Cell lengths 3.2786, 3.2786, 9.6970 Å; angles 90.00, 90.00, 90.00 degrees
Closest atoms and distances in Å follow each position.
Sites, in units of the cell vectors:
Sc 0.0000 0.0000 0.0000  8 Ru 2.83, 2 Sc 3.09
Sc 0.0000 0.0000 0.6815  4 Ru 2.74, 4 Ga 2.91
Sc 0.0000 0.0000 0.3185  4 Ru 2.74, 4 Ga 2.91
Ga 0.5000 0.5000 0.5000  8 Sc 2.91, 2 Ru 3.22
Ru 0.5000 0.5000 0.8325  8 Sc 2.74-2.83
Ru 0.5000 0.5000 0.1675  8 Sc 2.74-2.83

---

LaTaOs4 | PBE | relaxed

Summary:
Space group ... No. 216
N(E_F) ... 0.84 states/eV/atom
Energy of formation ... 164 meV per atom
DFT total energy ... -0.744 Ry/atom

Cell lengths 5.3234, 5.3234, 5.3234 Å; angles 60.00, 60.00, 60.00 degrees
Closest atoms and distances in Å follow each position.
Sites, in units of the cell vectors:
La 0.0000 0.0000 0.0000  12 Os 3.12, 4 Ta 3.26
Ta 0.7500 0.7500 0.7500  12 Os 3.12, 4 La 3.26
Os 0.8743 0.3752 0.3752  6 Os 2.66-2.67
Os 0.3752 0.3752 0.8743  6 Os 2.66-2.67
Os 0.3752 0.8743 0.3752  6 Os 2.66-2.67
Os 0.3752 0.3752 0.3752  6 Os 2.66-2.67

---

AcHo2Sb | PBE | relaxed

Summary:
Space group ... No. 123
N(E_F) ... 1.19 states/eV/atom
DFT total energy ... -0.349 Ry/atom
Formation energy without anion corrections ... -0.41 eV per atom

Cell lengths 4.9001, 4.9773, 4.9773 Å; angles 90.00, 90.00, 90.00 degrees
Closest atoms and distances in Å follow each position.
Sites, in units of the cell vectors:
Sb 0.5000 0.5000 0.5000  8 Ho 3.49, 4 Ac 3.52
Ac 0.5000 0.0000 0.0000  8 Ho 3.49, 4 Sb 3.52
Ho 0.0000 0.0000 0.5000  4 Ac 3.49, 4 Sb 3.49, 4 Ho 3.52
Ho 0.0000 0.5000 0.0000  4 Ac 3.49, 4 Sb 3.49, 4 Ho 3.52

---

Ta3VGe | PBE | relaxed

Summary:
Space group ... No. 221
N(E_F) ... 1.61 states/eV/atom
Energy of formation ... 1210 meV per atom
DFT total energy ... -0.636 Ry/atom

Cell lengths 4.7179, 4.7179, 4.7179 Å; angles 90.00, 90.00, 90.00 degrees
Closest atoms and distances in Å follow each position.
Sites, in units of the cell vectors:
Ge 0.0000 0.0000 0.0000  6 Ta 2.36
Ta 0.0000 0.5000 0.0000  2 Ge 2.36
Ta 0.0000 0.0000 0.5000  2 Ge 2.36
Ta 0.5000 0.0000 0.0000  2 Ge 2.36
V 0.5000 0.5000 0.5000  12 Ta 3.34

---

AlO3 | PBE | relaxed

Summary:
Space group ... No. 2
N(E_F) ... 0.10 states/eV/atom
DFT total energy ... -0.413 Ry/atom
Formation energy without anion corrections ... -0.96 eV per atom

Cell lengths 5.5484, 5.7722, 7.4514 Å; angles 85.21, 95.58, 107.25 degrees
Closest atoms and distances in Å follow each position.
Sites, in units of the cell vectors:
Al 0.5152 0.8284 0.1715  6 O 1.87-1.90
Al 0.4848 0.1716 0.8285  6 O 1.87-1.90
Al 0.9848 0.6716 0.3285  6 O 1.87-1.90
Al 0.0152 0.3284 0.6715  6 O 1.87-1.90
O 0.2562 0.9367 0.2477  2 Al 1.88-1.90
O 0.7438 0.0633 0.7523  2 Al 1.88-1.90
O 0.7562 0.4367 0.7477  2 Al 1.88-1.90
O 0.2438 0.5633 0.2523  2 Al 1.88-1.90
O 0.1658 0.6336 0.5502  2 Al 1.88-1.90
O 0.8342 0.3664 0.4498  2 Al 1.88-1.90
O 0.6658 0.1335 0.0503  2 Al 1.88-1.90
O 0.3342 0.8665 0.9497  2 Al 1.88-1.90
O 0.7527 0.8357 0.3679  2 Al 1.87, 1 O 2.08
O 0.2473 0.1643 0.6321  2 Al 1.87, 1 O 2.08
O 0.2527 0.3357 0.8679  2 Al 1.87, 1 O 2.08
O 0.7473 0.6643 0.1321  2 Al 1.87, 1 O 2.08

---

Pm6Sm3Ho2Pu | PBE | relaxed

Summary:
Space group ... No. 12
N(E_F) ... 1.98 states/eV/atom
Energy of formation ... 48 meV per atom
DFT total energy ... -0.402 Ry/atom

Cell lengths 6.2563, 6.2563, 11.8937 Å; angles 95.05, 95.05, 120.03 degrees
Closest atoms and distances in Å follow each position.
Sites, in units of the cell vectors:
Pm 0.9184 0.5888 0.7545  1 Pu 3.54, 2 Ho 3.56, 6 Pm 3.57-3.63, 3 Sm 3.63-3.65
Pm 0.7520 0.7520 0.2453  1 Pu 3.54, 2 Ho 3.55, 6 Pm 3.57-3.63, 3 Sm 3.63-3.65
Pm 0.0816 0.4112 0.2455  1 Pu 3.54, 2 Ho 3.56, 6 Pm 3.57-3.63, 3 Sm 3.63-3.65
Pm 0.5888 0.9184 0.7545  1 Pu 3.54, 2 Ho 3.56, 6 Pm 3.57-3.63, 3 Sm 3.63-3.65
Pm 0.2480 0.2480 0.7547  1 Pu 3.54, 2 Ho 3.55, 6 Pm 3.57-3.63, 3 Sm 3.63-3.65
Pm 0.4112 0.0816 0.2455  1 Pu 3.54, 2 Ho 3.56, 6 Pm 3.57-3.63, 3 Sm 3.63-3.65
Sm 0.1666 0.8334 0.5000  6 Sm 3.61, 6 Pm 3.63-3.65
Sm 0.8334 0.1666 0.5000  6 Sm 3.61, 6 Pm 3.63-3.65
Sm 0.5000 0.5000 0.5000  6 Sm 3.61, 6 Pm 3.63-3.65
Ho 0.3335 0.6665 0.0000  6 Pm 3.55-3.56, 3 Ho 3.61, 3 Pu 3.61
Ho 0.6665 0.3335 0.0000  6 Pm 3.55-3.56, 3 Ho 3.61, 3 Pu 3.61
Pu 0.0000 0.0000 0.0000  6 Pm 3.54, 6 Ho 3.61